No. 1
## RbSn3Pd5 (PBE)

Data for a relaxed RbSn3Pd5 crystal.

a = 4.220 Å, b = 7.303 Å, c = 13.631 Å
α = 90.00°, β = 90.00°, γ = 106.79°
Atoms (fractional coordinates):
1 Sn 0.378 0.755 0.959
2 Sn 0.622 0.245 0.041
3 Sn 0.100 0.201 0.750
4 Pd 0.548 0.095 0.858
5 Pd 0.548 0.095 0.642
6 Pd 0.452 0.905 0.358
7 Rb 0.827 0.654 0.750
8 Pd 0.000 0.000 0.000
9 Pd 0.809 0.618 0.067
10 Pd 0.452 0.905 0.142
11 Sn 0.900 0.799 0.250
12 Pd 0.191 0.382 0.933
13 Pd 0.191 0.382 0.567
14 Pd 0.000 0.000 0.500
15 Sn 0.378 0.755 0.541
16 Rb 0.173 0.346 0.250
17 Sn 0.622 0.245 0.459
18 Pd 0.809 0.618 0.433

Results
* raw total energy: -85.93 eV for the cell shown
* formation energy: -0.45 eV/atom

---

No. 2
## Rb3Sn4Pd2 (PBE)

Data for a relaxed Rb3Sn4Pd2 crystal.

a = 4.607 Å, b = 7.505 Å, c = 9.973 Å
α = 112.03°, β = 90.00°, γ = 107.88°
Atoms (fractional coordinates):
1 Pd 0.666 0.331 0.784
2 Sn 0.079 0.157 0.650
3 Sn 0.716 0.432 0.079
4 Rb 0.368 0.737 0.618
5 Sn 0.284 0.568 0.921
6 Sn 0.921 0.843 0.350
7 Pd 0.334 0.669 0.216
8 Rb 0.000 0.000 0.000
9 Rb 0.632 0.263 0.382

Results
* raw total energy: -31.84 eV for the cell shown
* formation energy: -0.28 eV/atom

---

No. 3
## RbSnPd2 (PBE)

Data for a relaxed RbSnPd2 crystal.

a = 4.641 Å, b = 4.641 Å, c = 6.797 Å
α = 70.04°, β = 70.04°, γ = 60.00°
Atoms (fractional coordinates):
1 Pd 0.187 0.187 0.440
2 Rb 0.000 0.000 0.000
3 Pd 0.813 0.813 0.560
4 Sn 0.500 0.500 0.500

Results
* raw total energy: -16.83 eV for the cell shown
* formation energy: -0.37 eV/atom

---

No. 4
## RbSnPd3 (PBE)

Data for a relaxed RbSnPd3 crystal.

a = 5.130 Å, b = 5.130 Å, c = 5.130 Å
α = 90.00°, β = 90.00°, γ = 90.00°
Atoms (fractional coordinates):
1 Pd 0.000 0.500 0.000
2 Sn 0.500 0.500 0.500
3 Pd 0.500 0.000 0.000
4 Pd 0.000 0.000 0.500
5 Rb 0.000 0.000 0.000

Results
* raw total energy: -14.32 eV for the cell shown
* formation energy: 1.25 eV/atom

---

No. 5
## RbSn8Pd2 (PBE)

Data for a relaxed RbSn8Pd2 crystal.

a = 5.721 Å, b = 7.495 Å, c = 7.495 Å
α = 103.30°, β = 95.14°, γ = 95.14°
Atoms (fractional coordinates):
1 Sn 0.145 0.083 0.366
2 Sn 0.500 0.700 0.300
3 Sn 0.233 0.629 0.629
4 Sn 0.145 0.366 0.083
5 Pd 0.000 0.698 0.302
6 Sn 0.500 0.300 0.700
7 Rb 0.500 0.000 0.000
8 Pd 0.000 0.302 0.698
9 Sn 0.855 0.634 0.917
10 Sn 0.855 0.917 0.634
11 Sn 0.767 0.371 0.371

Results
* raw total energy: -44.94 eV for the cell shown
* formation energy: -0.14 eV/atom

---

No. 6
## Rb2Sn7Pd12 (PBE)

Data for a relaxed Rb2Sn7Pd12 crystal.

a = 4.218 Å, b = 10.938 Å, c = 10.938 Å
α = 120.00°, β = 90.00°, γ = 90.00°
Atoms (fractional coordinates):
1 Pd 0.764 0.881 0.744
2 Sn 0.741 0.290 0.399
3 Sn 0.741 0.110 0.710
4 Sn 0.259 0.399 0.110
5 Rb 0.245 0.333 0.667
6 Pd 0.764 0.256 0.138
7 Sn 0.259 0.710 0.601
8 Rb 0.755 0.667 0.333
9 Pd 0.247 0.434 0.379
10 Pd 0.764 0.862 0.119
11 Sn 0.259 0.890 0.290
12 Pd 0.753 0.056 0.434
13 Pd 0.247 0.621 0.056
14 Pd 0.236 0.138 0.881
15 Pd 0.753 0.379 0.944
16 Sn 0.741 0.601 0.890
17 Pd 0.236 0.744 0.862
18 Pd 0.247 0.944 0.566
19 Sn 0.500 0.000 0.000
20 Pd 0.753 0.566 0.621
21 Pd 0.236 0.119 0.256

Results
* raw total energy: -100.63 eV for the cell shown
* formation energy: -0.40 eV/atom

---

No. 7
## RbSn3Pd2 (PBE)

Data for a relaxed RbSn3Pd2 crystal.

a = 5.899 Å, b = 7.442 Å, c = 7.442 Å
α = 108.12°, β = 90.00°, γ = 90.00°
Atoms (fractional coordinates):
1 Sn 0.250 0.931 0.931
2 Pd 0.500 0.802 0.198
3 Rb 0.750 0.641 0.641
4 Pd 0.500 0.198 0.802
5 Rb 0.250 0.359 0.359
6 Pd 0.000 0.198 0.802
7 Sn 0.750 0.478 0.084
8 Sn 0.250 0.522 0.916
9 Sn 0.750 0.084 0.478
10 Sn 0.750 0.069 0.069
11 Sn 0.250 0.916 0.522
12 Pd 0.000 0.802 0.198

Results
* raw total energy: -51.12 eV for the cell shown
* formation energy: -0.37 eV/atom

---

No. 8
## RbSnPd2 (PBE)

Data for a relaxed RbSnPd2 crystal.

a = 4.555 Å, b = 7.375 Å, c = 6.801 Å
α = 90.00°, β = 90.00°, γ = 90.00°
Atoms (fractional coordinates):
1 Pd 0.500 0.309 0.103
2 Pd 0.500 0.691 0.103
3 Rb 0.500 0.500 0.622
4 Rb 0.000 0.000 0.378
5 Pd 0.000 0.191 0.897
6 Pd 0.000 0.809 0.897
7 Sn 0.500 0.000 0.879
8 Sn 0.000 0.500 0.121

Results
* raw total energy: -33.72 eV for the cell shown
* formation energy: -0.38 eV/atom

---

No. 9
## RbSn3Pd3 (PBE)

Data for a relaxed RbSn3Pd3 crystal.

a = 7.449 Å, b = 7.449 Å, c = 7.449 Å
α = 90.00°, β = 90.00°, γ = 90.00°
Atoms (fractional coordinates):
1 Sn 0.750 0.000 0.500
2 Pd 0.500 0.000 0.750
3 Pd 0.000 0.750 0.500
4 Sn 0.500 0.250 0.000
5 Sn 0.250 0.000 0.500
6 Pd 0.750 0.500 0.000
7 Rb 0.500 0.500 0.500
8 Pd 0.000 0.250 0.500
9 Pd 0.250 0.500 0.000
10 Sn 0.000 0.500 0.250
11 Pd 0.500 0.000 0.250
12 Sn 0.500 0.750 0.000
13 Rb 0.000 0.000 0.000
14 Sn 0.000 0.500 0.750

Results
* raw total energy: -60.75 eV for the cell shown
* formation energy: -0.26 eV/atom

---

No. 10
## RbSnPd3 (PBE)

Data for a relaxed RbSnPd3 crystal.

a = 5.134 Å, b = 5.134 Å, c = 5.134 Å
α = 90.00°, β = 90.00°, γ = 90.00°
Atoms (fractional coordinates):
1 Pd 0.000 0.000 0.500
2 Pd 0.500 0.000 0.000
3 Sn 0.000 0.000 0.000
4 Rb 0.500 0.500 0.500
5 Pd 0.000 0.500 0.000

Results
* raw total energy: -19.88 eV for the cell shown
* formation energy: 0.13 eV/atom

---

No. 11
## RbSn2Pd (PBE)

Data for a relaxed RbSn2Pd crystal.

a = 3.474 Å, b = 3.474 Å, c = 8.852 Å
α = 90.00°, β = 90.00°, γ = 90.00°
Atoms (fractional coordinates):
1 Sn 0.000 0.000 0.823
2 Pd 0.500 0.500 0.000
3 Sn 0.000 0.000 0.177
4 Rb 0.500 0.500 0.500

Results
* raw total energy: -15.40 eV for the cell shown
* formation energy: -0.31 eV/atom

---

No. 12
## Rb2Sn2Pd (PBE)

Data for a relaxed Rb2Sn2Pd crystal.

a = 4.618 Å, b = 4.618 Å, c = 11.747 Å
α = 78.66°, β = 78.66°, γ = 60.00°
Atoms (fractional coordinates):
1 Rb 0.570 0.570 0.290
2 Pd 0.000 0.000 0.000
3 Rb 0.430 0.430 0.710
4 Sn 0.692 0.692 0.925
5 Sn 0.308 0.308 0.075

Results
* raw total energy: -16.70 eV for the cell shown
* formation energy: -0.31 eV/atom

---

No. 13
## Rb3SnPd (PBE)

Data for a relaxed Rb3SnPd crystal.

a = 6.415 Å, b = 6.415 Å, c = 6.415 Å
α = 90.00°, β = 90.00°, γ = 90.00°
Atoms (fractional coordinates):
1 Pd 0.000 0.000 0.000
2 Rb 0.000 0.500 0.000
3 Sn 0.500 0.500 0.500
4 Rb 0.500 0.000 0.000
5 Rb 0.000 0.000 0.500

Results
* raw total energy: -10.74 eV for the cell shown
* formation energy: 0.27 eV/atom

---

No. 14
## RbSn2Pd (PBE)

Data for a relaxed RbSn2Pd crystal.

a = 4.488 Å, b = 7.339 Å, c = 7.839 Å
α = 90.00°, β = 90.00°, γ = 90.00°
Atoms (fractional coordinates):
1 Pd 0.500 0.561 0.500
2 Pd 0.000 0.439 0.000
3 Sn 0.000 0.639 0.301
4 Sn 0.500 0.361 0.801
5 Rb 0.500 0.888 0.000
6 Sn 0.500 0.361 0.199
7 Rb 0.000 0.112 0.500
8 Sn 0.000 0.639 0.699

Results
* raw total energy: -31.16 eV for the cell shown
* formation energy: -0.35 eV/atom

---

No. 15
## RbSn2Pd (PBE)

Data for a relaxed RbSn2Pd crystal.

a = 5.938 Å, b = 5.938 Å, c = 9.667 Å
α = 72.11°, β = 72.11°, γ = 90.00°
Atoms (fractional coordinates):
1 Sn 0.875 0.125 0.750
2 Sn 0.875 0.125 0.250
3 Pd 0.750 0.250 0.500
4 Rb 0.250 0.750 0.500
5 Sn 0.375 0.125 0.750
6 Sn 0.875 0.625 0.250
7 Rb 0.500 0.500 0.000
8 Pd 0.000 0.000 0.000

Results
* raw total energy: -29.23 eV for the cell shown
* formation energy: -0.11 eV/atom

---

No. 16
## RbSr2SnPd (PBE)

Data for a relaxed RbSr2SnPd crystal.

a = 6.047 Å, b = 6.047 Å, c = 5.285 Å
α = 90.00°, β = 90.00°, γ = 90.00°
Atoms (fractional coordinates):
1 Sn 0.000 0.000 0.500
2 Sr 0.000 0.500 0.000
3 Rb 0.500 0.500 0.500
4 Pd 0.000 0.000 0.000
5 Sr 0.500 0.000 0.000

Results
* raw total energy: -15.15 eV for the cell shown
* formation energy: -0.33 eV/atom

---

No. 17
## RbTlSnPd2 (PBE)

Data for a relaxed RbTlSnPd2 crystal.

a = 5.240 Å, b = 6.030 Å, c = 5.240 Å
α = 90.00°, β = 90.00°, γ = 90.00°
Atoms (fractional coordinates):
1 Pd 0.000 0.000 0.500
2 Rb 0.000 0.000 0.000
3 Tl 0.000 0.500 0.000
4 Sn 0.500 0.500 0.500
5 Pd 0.500 0.000 0.000

Results
* raw total energy: -12.08 eV for the cell shown
* formation energy: 1.13 eV/atom

---

No. 18
## RbTl2SnPd (PBE)

Data for a relaxed RbTl2SnPd crystal.

a = 5.539 Å, b = 5.539 Å, c = 5.349 Å
α = 90.00°, β = 90.00°, γ = 90.00°
Atoms (fractional coordinates):
1 Pd 0.000 0.000 0.000
2 Tl 0.000 0.500 0.000
3 Rb 0.500 0.500 0.500
4 Tl 0.500 0.000 0.000
5 Sn 0.000 0.000 0.500

Results
* raw total energy: -15.18 eV for the cell shown
* formation energy: -0.06 eV/atom

---

No. 19
## RbZn2SnPd (PBE)

Data for a relaxed RbZn2SnPd crystal.

a = 5.081 Å, b = 5.081 Å, c = 5.184 Å
α = 90.00°, β = 90.00°, γ = 90.00°
Atoms (fractional coordinates):
1 Sn 0.000 0.000 0.500
2 Rb 0.500 0.500 0.500
3 Pd 0.000 0.000 0.000
4 Zn 0.000 0.500 0.000
5 Zn 0.500 0.000 0.000

Results
* raw total energy: -13.19 eV for the cell shown
* formation energy: -0.10 eV/atom

---

No. 20
## RbSr3Pd (PBE)

Data for a relaxed RbSr3Pd crystal.

a = 25.814 Å, b = 12.016 Å, c = 12.016 Å
α = 159.59°, β = 155.80°, γ = 24.20°
Atoms (fractional coordinates):
1 Sr 0.591 0.559 0.441
2 Pd 0.424 0.022 0.978
3 Rb 0.175 0.037 0.963
4 Sr 0.318 0.714 0.286
5 Sr 0.682 0.286 0.714
6 Rb 0.825 0.963 0.037
7 Sr 0.909 0.672 0.328
8 Sr 0.409 0.441 0.559
9 Pd 0.576 0.978 0.022
10 Sr 0.091 0.328 0.672

Results
* raw total energy: -24.46 eV for the cell shown
* formation energy: -0.20 eV/atom

---

no.,total magnetic moment (μB per cell)
1,0.000
2,0.000
3,0.000
4,0.000
5,0.000
6,0.000
7,0.000
8,0.000
9,0.000
10,0.000
11,0.000
12,0.035
13,2.963
14,0.000
15,0.000
16,0.756
17,0.000
18,0.000
19,0.000
20,0.000